No. 1
DFT (PBE) results for an optimized crystal structure of Sr3Mg5H12.

Lattice parameters (Å, degrees): 11.0951 11.0951 11.0951 109.47 109.47 109.47
With the nearest neighbours (Å) after each atom.
Element x y z (fractional)
Mg  0.0000  0.5000  0.5000  6 H 2.07
Mg  0.3750  0.1250  0.7500  4 H 1.94
Mg  0.1250  0.7500  0.3750  4 H 1.94
Mg  0.7500  0.1250  0.8750  4 H 1.94
Mg  0.0000  0.0000  0.5000  6 H 2.07
Mg  0.6250  0.7500  0.8750  4 H 1.94
Mg  0.1250  0.3750  0.2500  4 H 1.94
Mg  0.0000  0.5000  0.0000  6 H 2.07
Mg  0.8750  0.2500  0.6250  4 H 1.94
Mg  0.7500  0.6250  0.3750  4 H 1.94
Mg  0.8750  0.6250  0.7500  4 H 1.94
Mg  0.5000  0.5000  0.0000  6 H 2.07
Mg  0.2500  0.8750  0.1250  4 H 1.94
Mg  0.2500  0.3750  0.6250  4 H 1.94
Mg  0.0000  0.0000  0.0000  6 H 2.07
Mg  0.3750  0.2500  0.1250  4 H 1.94
Mg  0.5000  0.0000  0.5000  6 H 2.07
Mg  0.5000  0.0000  0.0000  6 H 2.07
Mg  0.6250  0.8750  0.2500  4 H 1.94
Mg  0.5000  0.5000  0.5000  6 H 2.07
Sr  0.2500  0.1250  0.3750  8 H 2.47-2.52
Sr  0.1250  0.8750  0.7500  8 H 2.47-2.52
Sr  0.8750  0.7500  0.1250  8 H 2.47-2.52
Sr  0.6250  0.3750  0.7500  8 H 2.47-2.52
Sr  0.3750  0.6250  0.2500  8 H 2.47-2.52
Sr  0.6250  0.2500  0.3750  8 H 2.47-2.52
Sr  0.8750  0.1250  0.2500  8 H 2.47-2.52
Sr  0.3750  0.7500  0.6250  8 H 2.47-2.52
Sr  0.1250  0.2500  0.8750  8 H 2.47-2.52
Sr  0.7500  0.3750  0.1250  8 H 2.47-2.52
Sr  0.7500  0.8750  0.6250  8 H 2.47-2.52
Sr  0.2500  0.6250  0.8750  8 H 2.47-2.52
H  0.8802  0.5860  0.9087  2 Mg 1.94-2.07
H  0.5913  0.9715  0.6774  2 Mg 1.94-2.07
H  0.2942  0.4140  0.8226  2 Mg 1.94-2.07
H  0.0860  0.9087  0.3802  2 Mg 1.94-2.07
H  0.7058  0.5860  0.1774  2 Mg 1.94-2.07
H  0.8802  0.2942  0.4715  2 Mg 1.94-2.07
H  0.4087  0.3802  0.5860  2 Mg 1.94-2.07
H  0.3226  0.5285  0.4087  2 Mg 1.94-2.07
H  0.3226  0.7942  0.4140  2 Mg 1.94-2.07
H  0.3802  0.4087  0.0860  2 Mg 1.94-2.07
H  0.0913  0.9140  0.1198  2 Mg 1.94-2.07
H  0.0285  0.6198  0.7058  2 Mg 1.94-2.07
H  0.0285  0.4087  0.8226  2 Mg 1.94-2.07
H  0.9140  0.0913  0.6198  2 Mg 1.94-2.07
H  0.5285  0.2058  0.1198  2 Mg 1.94-2.07
H  0.9087  0.8226  0.5285  2 Mg 1.94-2.07
H  0.4087  0.0285  0.3226  2 Mg 1.94-2.07
H  0.8226  0.9140  0.2942  2 Mg 1.94-2.07
H  0.0860  0.1774  0.2058  2 Mg 1.94-2.07
H  0.9140  0.8226  0.7942  2 Mg 1.94-2.07
H  0.4715  0.7942  0.8802  2 Mg 1.94-2.07
H  0.4140  0.2942  0.3226  2 Mg 1.94-2.07
H  0.2942  0.8802  0.9715  2 Mg 1.94-2.07
H  0.7942  0.4715  0.3802  2 Mg 1.94-2.07
H  0.9715  0.3802  0.2942  2 Mg 1.94-2.07
H  0.7942  0.3226  0.9140  2 Mg 1.94-2.07
H  0.6774  0.4715  0.5913  2 Mg 1.94-2.07
H  0.3802  0.9715  0.7942  2 Mg 1.94-2.07
H  0.5285  0.3226  0.9087  2 Mg 1.94-2.07
H  0.6774  0.2058  0.5860  2 Mg 1.94-2.07
H  0.9715  0.5913  0.1774  2 Mg 1.94-2.07
H  0.7058  0.1198  0.0285  2 Mg 1.94-2.07
H  0.1774  0.0913  0.9715  2 Mg 1.94-2.07
H  0.1198  0.7058  0.5285  2 Mg 1.94-2.07
H  0.1774  0.0860  0.7058  2 Mg 1.94-2.07
H  0.0913  0.1774  0.4715  2 Mg 1.94-2.07
H  0.6198  0.0285  0.2058  2 Mg 1.94-2.07
H  0.4140  0.1198  0.5913  2 Mg 1.94-2.07
H  0.1198  0.4140  0.0913  2 Mg 1.94-2.07
H  0.4715  0.6774  0.0913  2 Mg 1.94-2.07
H  0.2058  0.6774  0.0860  2 Mg 1.94-2.07
H  0.9087  0.0860  0.8802  2 Mg 1.94-2.07
H  0.5913  0.6198  0.4140  2 Mg 1.94-2.07
H  0.2058  0.5285  0.6198  2 Mg 1.94-2.07
H  0.5860  0.7058  0.6774  2 Mg 1.94-2.07
H  0.6198  0.5913  0.9140  2 Mg 1.94-2.07
H  0.5860  0.8802  0.4087  2 Mg 1.94-2.07
H  0.8226  0.9087  0.0285  2 Mg 1.94-2.07

The mass density comes out at 2.5 Mg/m³. The total energy is -2.885 eV/atom. As for the space-group type: Ia-3d (230).

=====

No. 2
DFT (PBE) results for an optimized crystal structure of AlAuN2F.

Lattice parameters (Å, degrees): 3.9500 3.9500 5.4614 90.00 90.00 90.00
With the nearest neighbours (Å) after each atom.
Element x y z (fractional)
N  0.5000  0.0000  0.0000  2 Au 1.98
N  0.0000  0.5000  0.0000  2 Au 1.98
Au  0.0000  0.0000  0.0000  4 N 1.98
F  0.0000  0.0000  0.5000  2 Au 2.73, 4 Al 2.79
Al  0.5000  0.5000  0.5000  4 F 2.79

Its relative energy among the computed polymorphs is 1092 meV per atom. The mass density comes out at 5.3 Mg/m³. The total energy is -3.967 eV/atom. As for the space-group type: P4/mmm (123). The formation energy from raw total energies is 110.1 kJ per mole of atoms.

=====

No. 3
DFT (PBE) results for an optimized crystal structure of Rb2NbVAg.

Lattice parameters (Å, degrees): 6.9090 4.4343 6.9090 90.00 90.00 90.00
With the nearest neighbours (Å) after each atom.
Element x y z (fractional)
Rb  0.5000  0.0000  0.0000  2 Nb 3.45
Rb  0.0000  0.0000  0.5000  2 Nb 3.45
Nb  0.0000  0.0000  0.0000  2 V 2.22
Ag  0.5000  0.5000  0.5000  8 Rb 4.10, 2 Ag 4.43
V  0.0000  0.5000  0.0000  2 Nb 2.22

The mass density comes out at 3.3 Mg/m³. The total energy is -3.366 eV/atom. For the formation energy from the elements, the calculation gives 1.429 eV per atom. As for the space-group type: P4/mmm (123).

=====

No. 4
DFT (PBE) results for an optimized crystal structure of CaScHgGe.

Lattice parameters (Å, degrees): 5.0572 5.0572 5.0572 60.00 60.00 60.00
With the nearest neighbours (Å) after each atom.
Element x y z (fractional)
Ge  0.2500  0.2500  0.2500  4 Ca 3.10, 4 Sc 3.10
Ca  0.0000  0.0000  0.0000  4 Hg 3.10, 4 Ge 3.10
Sc  0.5000  0.5000  0.5000  4 Ge 3.10, 4 Hg 3.10
Hg  0.7500  0.7500  0.7500  4 Ca 3.10, 4 Sc 3.10

The mass density comes out at 6.5 Mg/m³. The total energy is -3.786 eV/atom. For the formation energy from the elements, the calculation gives -0.473 eV per atom. As for the space-group type: F-43m (216).

=====

No. 5
DFT (PBE) results for an optimized crystal structure of Zr3Ti4P4.

Lattice parameters (Å, degrees): 3.5053 7.4886 8.0643 117.67 102.55 90.00
With the nearest neighbours (Å) after each atom.
Element x y z (fractional)
P  0.5000  0.2059  0.0000  2 Ti 2.51, 4 Zr 2.79
P  0.5000  0.7941  0.0000  2 Ti 2.51, 4 Zr 2.79
P  0.7574  0.2574  0.5149  6 Ti 2.46-2.60, 2 Zr 2.69
P  0.2426  0.7426  0.4851  6 Ti 2.46-2.60, 2 Zr 2.69
Zr  0.8899  0.8899  0.7797  6 P 2.69-2.79
Zr  0.0000  0.5000  0.0000  4 P 2.81
Zr  0.1101  0.1101  0.2203  6 P 2.69-2.79
Ti  0.3277  0.5183  0.6554  4 P 2.46-2.60
Ti  0.6723  0.8629  0.3446  4 P 2.46-2.60
Ti  0.3277  0.1371  0.6554  4 P 2.46-2.60
Ti  0.6723  0.4817  0.3446  4 P 2.46-2.60

The mass density comes out at 5.4 Mg/m³. The total energy is -8.288 eV/atom. For the formation energy from the elements, the calculation gives -1.118 eV per atom. As for the space-group type: Immm (71).

=====

No. 6
DFT (PBE) results for an optimized crystal structure of MgMoPt.

Lattice parameters (Å, degrees): 4.4941 4.4941 2.7431 90.00 90.00 120.00
With the nearest neighbours (Å) after each atom.
Element x y z (fractional)
Pt  0.3333  0.6667  0.7296  3 Mg 2.65, 2 Pt 2.74, 3 Mo 2.81
Mo  0.6667  0.3333  0.3400  2 Mo 2.74, 3 Pt 2.81, 6 Mg 2.83-3.06
Mg  0.0000  0.0000  0.9305  3 Pt 2.65, 2 Mg 2.74, 3 Mo 2.83

Its relative energy among the computed polymorphs is 298 meV per atom. The mass density comes out at 10.9 Mg/m³. The total energy is -6.198 eV/atom. For the formation energy from the elements, the calculation gives -0.042 eV per atom. As for the space-group type: P3m1 (156).